1.
Material: La3OsCl3
Method: DFT, PBE
State: relaxed

Output
- energy (eV per atom) = -6.03
- ΔE_f (raw) (meV/atom) = -1527
- symmetry = No. 11
- theoretical density (g cm⁻³) = 5.2

abc: 8.9231 4.2933 11.9079
angles: 90.00 94.45 90.00
Closest atoms and distances in Å follow each position.
Fractional coordinates of all 14 atoms:
La1 0.1000 0.2500 0.3861  3 Os 2.91-2.93, 1 Cl 3.21
La2 0.1370 0.2500 0.8516  1 Os 2.62, 2 Cl 2.92
La3 0.3391 0.7500 0.6281  2 Os 2.88, 2 Cl 2.96-3.03
La4 0.6609 0.2500 0.3719  2 Os 2.88, 2 Cl 2.96-3.03
La5 0.8630 0.7500 0.1484  1 Os 2.62, 2 Cl 2.92
La6 0.9000 0.7500 0.6139  3 Os 2.91-2.93, 1 Cl 3.21
Os1 0.1244 0.2500 0.6312  4 La 2.62-2.91
Os2 0.8756 0.7500 0.3688  4 La 2.62-2.91
Cl1 0.0898 0.2500 0.1159  4 La 3.00-3.21
Cl2 0.3590 0.7500 0.8777  3 La 2.92-2.96
Cl3 0.3909 0.7500 0.3795  5 La 3.03-3.37
Cl4 0.6091 0.2500 0.6205  5 La 3.03-3.37
Cl5 0.6410 0.2500 0.1223  3 La 2.92-2.96
Cl6 0.9102 0.7500 0.8841  4 La 3.00-3.21


2.
Material: Er2UTcC4
Method: DFT, PBE
State: relaxed

Output
- energy (eV per atom) = -8.43
- symmetry = No. 63
- formation energy (eV/f.u.) = 0.3
- theoretical density (g cm⁻³) = 9.9

abc: 6.1142 6.1142 11.9980
angles: 90.00 90.00 147.64
Closest atoms and distances in Å follow each position.
Fractional coordinates of all 16 atoms:
Er1 0.1305 0.8695 0.5411  3 C 2.34-2.39
Er2 0.1305 0.8695 0.9589  3 C 2.34-2.39
Er3 0.8695 0.1305 0.0411  3 C 2.34-2.39
Er4 0.8695 0.1305 0.4589  3 C 2.34-2.39
U1 0.4011 0.5989 0.7500  6 C 2.51-2.67
U2 0.5989 0.4011 0.2500  6 C 2.51-2.67
Tc1 0.3383 0.6617 0.2500  4 C 1.90-2.10
Tc2 0.6617 0.3383 0.7500  4 C 1.90-2.10
C1 0.0575 0.9425 0.7500  2 Tc 2.10
C2 0.2280 0.7720 0.1342  1 Tc 1.90
C3 0.2280 0.7720 0.3658  1 Tc 1.90
C4 0.5000 0.5000 0.0000  4 Er 2.34
C5 0.5000 0.5000 0.5000  4 Er 2.34
C6 0.7720 0.2280 0.6342  1 Tc 1.90
C7 0.7720 0.2280 0.8658  1 Tc 1.90
C8 0.9425 0.0575 0.2500  2 Tc 2.10


3.
Material: ZrMnS3
Method: DFT, PBE
State: relaxed

Output
- energy (eV per atom) = -6.33
- ΔE_f (raw) (meV/atom) = -309
- symmetry = No. 221
- theoretical density (g cm⁻³) = 4.6

abc: 4.4554 4.4554 4.4554
angles: 90.00 90.00 90.00
Closest atoms and distances in Å follow each position.
Fractional coordinates of all 5 atoms:
Zr1 0.0000 0.0000 0.0000  12 S 3.15
Mn1 0.5000 0.5000 0.5000  6 S 2.23
S1 0.0000 0.5000 0.5000  2 Mn 2.23
S2 0.5000 0.0000 0.5000  2 Mn 2.23
S3 0.5000 0.5000 0.0000  2 Mn 2.23


4.
Material: BeP2Br
Method: DFT, PBE
State: relaxed

Output
- energy (eV per atom) = -4.05
- ΔE_f (raw) (meV/atom) = 6
- symmetry = No. 12
- theoretical density (g cm⁻³) = 3.4

abc: 10.8547 3.4334 3.9696
angles: 90.00 93.05 90.00
Closest atoms and distances in Å follow each position.
Fractional coordinates of all 8 atoms:
Be1 0.0000 0.0000 0.0000  2 P 2.21
Be2 0.5000 0.5000 0.0000  2 P 2.21
P1 0.2024 0.0000 0.1021  2 P 2.18, 1 Be 2.21
P2 0.2976 0.5000 0.8979  2 P 2.18, 1 Be 2.21
P3 0.7024 0.5000 0.1021  2 P 2.18, 1 Be 2.21
P4 0.7976 0.0000 0.8979  2 P 2.18, 1 Be 2.21
Br1 0.0000 0.5000 0.5000  4 Be 2.62
Br2 0.5000 0.0000 0.5000  4 Be 2.62


5.
Material: MgBeTe2
Method: DFT, PBE
State: relaxed

Output
- energy (eV per atom) = -2.86
- ΔE_f (raw) (meV/atom) = 45
- symmetry = No. 166
- theoretical density (g cm⁻³) = 4.4

abc: 3.9145 3.9145 24.6937
angles: 90.00 90.00 120.00
Closest atoms and distances in Å follow each position.
Fractional coordinates of all 12 atoms:
Mg1 0.0000 0.0000 0.0000  2 Te 2.72
Mg2 0.3333 0.6667 0.6667  2 Te 2.72
Mg3 0.6667 0.3333 0.3333  2 Te 2.72
Be1 0.0000 0.0000 0.5000  6 Te 2.65
Be2 0.3333 0.6667 0.1667  6 Te 2.65
Be3 0.6667 0.3333 0.8333  6 Te 2.65
Te1 0.0000 0.0000 0.1103  3 Be 2.65, 1 Mg 2.72
Te2 0.0000 0.0000 0.8897  3 Be 2.65, 1 Mg 2.72
Te3 0.3333 0.6667 0.5563  3 Be 2.65, 1 Mg 2.72
Te4 0.3333 0.6667 0.7770  3 Be 2.65, 1 Mg 2.72
Te5 0.6667 0.3333 0.2230  3 Be 2.65, 1 Mg 2.72
Te6 0.6667 0.3333 0.4437  3 Be 2.65, 1 Mg 2.72


6.
Material: Ce7Ga2Ge2
Method: DFT, PBE
State: relaxed

Output
- energy (eV per atom) = -5.38
- symmetry = No. 65
- formation energy (eV/f.u.) = -2.3
- theoretical density (g cm⁻³) = 7.0

abc: 6.6980 6.6980 6.9609
angles: 90.00 90.00 106.60
Closest atoms and distances in Å follow each position.
Fractional coordinates of all 11 atoms:
Ce1 0.0000 0.0000 0.0000  2 Ga 3.14
Ce2 0.0000 0.5000 0.3059  1 Ce 2.70, 2 Ga 2.96
Ce3 0.0000 0.5000 0.6941  1 Ce 2.70, 2 Ga 2.96
Ce4 0.5000 0.0000 0.3059  1 Ce 2.70, 2 Ga 2.96
Ce5 0.5000 0.0000 0.6941  1 Ce 2.70, 2 Ga 2.96
Ce6 0.5000 0.5000 0.2958  1 Ce 2.84, 2 Ga 3.04, 2 Ge 3.09
Ce7 0.5000 0.5000 0.7042  1 Ce 2.84, 2 Ga 3.04, 2 Ge 3.09
Ga1 0.2923 0.7077 0.0000  7 Ce 2.96-3.14
Ga2 0.7077 0.2923 0.0000  7 Ce 2.96-3.14
Ge1 0.1573 0.1573 0.5000  1 Ge 2.52
Ge2 0.8427 0.8427 0.5000  1 Ge 2.52


7.
Material: K2LaHf
Method: DFT, PBE
State: relaxed

Output
- energy (eV per atom) = -3.02
- symmetry = No. 225
- formation energy (eV/f.u.) = 5.0
- theoretical density (g cm⁻³) = 4.3

abc: 8.5006 8.5006 8.5006
angles: 90.00 90.00 90.00
Closest atoms and distances in Å follow each position.
Fractional coordinates of all 16 atoms:
K1 0.2500 0.2500 0.2500  4 Hf 3.68, 4 La 3.68
K2 0.2500 0.2500 0.7500  4 Hf 3.68, 4 La 3.68
K3 0.2500 0.7500 0.2500  4 Hf 3.68, 4 La 3.68
K4 0.2500 0.7500 0.7500  4 Hf 3.68, 4 La 3.68
K5 0.7500 0.2500 0.2500  4 Hf 3.68, 4 La 3.68
K6 0.7500 0.2500 0.7500  4 Hf 3.68, 4 La 3.68
K7 0.7500 0.7500 0.2500  4 Hf 3.68, 4 La 3.68
K8 0.7500 0.7500 0.7500  4 Hf 3.68, 4 La 3.68
La1 0.0000 0.0000 0.0000  8 K 3.68
La2 0.0000 0.5000 0.5000  8 K 3.68
La3 0.5000 0.0000 0.5000  8 K 3.68
La4 0.5000 0.5000 0.0000  8 K 3.68
Hf1 0.0000 0.0000 0.5000  8 K 3.68
Hf2 0.0000 0.5000 0.0000  8 K 3.68
Hf3 0.5000 0.0000 0.0000  8 K 3.68
Hf4 0.5000 0.5000 0.5000  8 K 3.68


8.
Material: Dy5Tl2Te
Method: DFT, PBE
State: relaxed

Output
- energy (eV per atom) = -4.37
- ΔE_f (raw) (meV/atom) = -505
- symmetry = No. 55
- theoretical density (g cm⁻³) = 9.5

abc: 8.4290 12.3139 4.5478
angles: 90.00 90.00 90.00
Closest atoms and distances in Å follow each position.
Fractional coordinates of all 16 atoms:
Dy1 0.0000 0.0000 0.0000  4 Tl 3.21, 4 Dy 3.46
Dy2 0.1614 0.2816 0.0000  1 Te 3.01, 4 Tl 3.23-3.28
Dy3 0.2112 0.5756 0.5000  2 Te 3.03, 2 Tl 3.27-3.30
Dy4 0.2888 0.0756 0.5000  2 Te 3.03, 2 Tl 3.27-3.30
Dy5 0.3386 0.7816 0.0000  1 Te 3.01, 4 Tl 3.23-3.28
Dy6 0.5000 0.5000 0.0000  4 Tl 3.21, 4 Dy 3.46
Dy7 0.6614 0.2184 0.0000  1 Te 3.01, 4 Tl 3.23-3.28
Dy8 0.7112 0.9244 0.5000  2 Te 3.03, 2 Tl 3.27-3.30
Dy9 0.7888 0.4244 0.5000  2 Te 3.03, 2 Tl 3.27-3.30
Dy10 0.8386 0.7184 0.0000  1 Te 3.01, 4 Tl 3.23-3.28
Tl1 0.0735 0.8235 0.5000  8 Dy 3.21-3.30
Tl2 0.4265 0.3235 0.5000  8 Dy 3.21-3.30
Tl3 0.5735 0.6765 0.5000  8 Dy 3.21-3.30
Tl4 0.9265 0.1765 0.5000  8 Dy 3.21-3.30
Te1 0.0000 0.5000 0.0000  6 Dy 3.01-3.03
Te2 0.5000 0.0000 0.0000  6 Dy 3.01-3.03


9.
Material: Al2TcBr
Method: DFT, PBE
State: relaxed

Output
- energy (eV per atom) = -4.66
- ΔE_f (raw) (meV/atom) = 221
- symmetry = No. 160
- theoretical density (g cm⁻³) = 5.1

abc: 3.0210 3.0210 28.8133
angles: 90.00 90.00 120.00
Closest atoms and distances in Å follow each position.
Fractional coordinates of all 12 atoms:
Al1 0.0000 0.0000 0.0000  3 Tc 2.66, 3 Al 2.90
Al2 0.0000 0.0000 0.2531  9 Al 2.90-3.02
Al3 0.3333 0.6667 0.6667  3 Tc 2.66, 3 Al 2.90
Al4 0.3333 0.6667 0.9197  9 Al 2.90-3.02
Al5 0.6667 0.3333 0.3333  3 Tc 2.66, 3 Al 2.90
Al6 0.6667 0.3333 0.5864  9 Al 2.90-3.02
Tc1 0.0000 0.0000 0.7362  3 Br 2.58, 3 Al 2.66
Tc2 0.3333 0.6667 0.4029  3 Br 2.58, 3 Al 2.66
Tc3 0.6667 0.3333 0.0695  3 Br 2.58, 3 Al 2.66
Br1 0.0000 0.0000 0.4688  3 Tc 2.58
Br2 0.3333 0.6667 0.1354  3 Tc 2.58
Br3 0.6667 0.3333 0.8021  3 Tc 2.58


10.
Material: NdThNiIr
Method: DFT, PBE
State: relaxed

Output
- energy (eV per atom) = -7.18
- symmetry = No. 216
- formation energy (eV/f.u.) = -1.9
- theoretical density (g cm⁻³) = 11.8

abc: 7.0762 7.0762 7.0762
angles: 90.00 90.00 90.00
Closest atoms and distances in Å follow each position.
Fractional coordinates of all 16 atoms:
Nd1 0.0000 0.0000 0.0000  4 Ni 3.06, 4 Ir 3.06
Nd2 0.0000 0.5000 0.5000  4 Ni 3.06, 4 Ir 3.06
Nd3 0.5000 0.0000 0.5000  4 Ni 3.06, 4 Ir 3.06
Nd4 0.5000 0.5000 0.0000  4 Ni 3.06, 4 Ir 3.06
Th1 0.0000 0.0000 0.5000  4 Ni 3.06, 4 Ir 3.06
Th2 0.0000 0.5000 0.0000  4 Ni 3.06, 4 Ir 3.06
Th3 0.5000 0.0000 0.0000  4 Ni 3.06, 4 Ir 3.06
Th4 0.5000 0.5000 0.5000  4 Ni 3.06, 4 Ir 3.06
Ni1 0.2500 0.2500 0.7500  4 Th 3.06, 4 Nd 3.06
Ni2 0.2500 0.7500 0.2500  4 Th 3.06, 4 Nd 3.06
Ni3 0.7500 0.2500 0.2500  4 Th 3.06, 4 Nd 3.06
Ni4 0.7500 0.7500 0.7500  4 Th 3.06, 4 Nd 3.06
Ir1 0.2500 0.2500 0.2500  4 Th 3.06, 4 Nd 3.06
Ir2 0.2500 0.7500 0.7500  4 Th 3.06, 4 Nd 3.06
Ir3 0.7500 0.2500 0.7500  4 Th 3.06, 4 Nd 3.06
Ir4 0.7500 0.7500 0.2500  4 Th 3.06, 4 Nd 3.06


11.
Material: CuHPdPt
Method: DFT, PBE
State: relaxed

Output
- energy (eV per atom) = -4.34
- symmetry = No. 216
- theoretical density (g cm⁻³) = 12.3

abc: 5.8196 5.8196 5.8196
angles: 90.00 90.00 90.00
Closest atoms and distances in Å follow each position.
Fractional coordinates of all 16 atoms:
Cu1 0.0000 0.0000 0.0000  4 Pt 2.52, 4 Pd 2.52
Cu2 0.0000 0.5000 0.5000  4 Pd 2.52, 4 Pt 2.52
Cu3 0.5000 0.0000 0.5000  4 Pd 2.52, 4 Pt 2.52
Cu4 0.5000 0.5000 0.0000  4 Pd 2.52, 4 Pt 2.52
H1 0.0000 0.0000 0.5000  4 Pd 2.52, 4 Pt 2.52
H2 0.0000 0.5000 0.0000  4 Pd 2.52, 4 Pt 2.52
H3 0.5000 0.0000 0.0000  4 Pd 2.52, 4 Pt 2.52
H4 0.5000 0.5000 0.5000  4 Pd 2.52, 4 Pt 2.52
Pd1 0.2500 0.2500 0.7500  4 H 2.52, 4 Cu 2.52
Pd2 0.2500 0.7500 0.2500  4 H 2.52, 4 Cu 2.52
Pd3 0.7500 0.2500 0.2500  4 H 2.52, 4 Cu 2.52
Pd4 0.7500 0.7500 0.7500  4 H 2.52, 4 Cu 2.52
Pt1 0.2500 0.2500 0.2500  4 H 2.52, 4 Cu 2.52
Pt2 0.2500 0.7500 0.7500  4 H 2.52, 4 Cu 2.52
Pt3 0.7500 0.2500 0.7500  4 H 2.52, 4 Cu 2.52
Pt4 0.7500 0.7500 0.2500  4 H 2.52, 4 Cu 2.52


12.
Material: ScMnSi2
Method: DFT, PBE
State: relaxed

Output
- energy (eV per atom) = -7.01
- ΔE_f (raw) (meV/atom) = -425
- symmetry = No. 123
- theoretical density (g cm⁻³) = 4.6

abc: 2.9134 2.9134 6.6052
angles: 90.00 90.00 90.00
Closest atoms and distances in Å follow each position.
Fractional coordinates of all 4 atoms:
Sc1 0.0000 0.0000 0.0000  8 Si 2.89, 4 Sc 2.91
Mn1 0.0000 0.0000 0.5000  8 Si 2.42
Si1 0.5000 0.5000 0.3066  4 Mn 2.42, 1 Si 2.55
Si2 0.5000 0.5000 0.6934  4 Mn 2.42, 1 Si 2.55


Number 1: D(E_F) 0.88 states/eV/f.u.. Number 2: D(E_F) 8.18 states/eV/f.u.. Number 3: D(E_F) 3.92 states/eV/f.u.. Number 4: D(E_F) 1.26 states/eV/f.u.. Number 5: D(E_F) 1.90 states/eV/f.u.. Number 6: D(E_F) 30.90 states/eV/f.u.. Number 7: D(E_F) 7.67 states/eV/f.u.. Number 8: D(E_F) 6.37 states/eV/f.u.. Number 9: D(E_F) 3.19 states/eV/f.u.. Number 10: D(E_F) 4.57 states/eV/f.u.. Number 11: D(E_F) 1.67 states/eV/f.u.. Number 12: D(E_F) 2.82 states/eV/f.u..